1.
SmThHg4 after structural relaxation, computed with PBE.

Cell and atoms, written as POSCAR:
```
SmThHg4
1.0
3.423 0.000 0.000
0.000 5.054 0.000
-0.002 0.000 8.742
Sm Th Hg
1 1 4
direct
0.000 0.000 0.000
0.000 0.500 0.500
0.498 0.500 0.164
0.500 0.000 0.331
0.500 0.000 0.669
0.502 0.500 0.836
```

Calculated values
Raw total energy, eV/atom: -2.566
Formation energy, eV per atom: -0.342
Polymorph energy (0 for the lowest one), kcal/mol of atoms: 0.00

=====

2.
Sr2CdIn6Rh after structural relaxation, computed with PBE.

Cell and atoms, written as POSCAR:
```
Sr2CdIn6Rh
1.0
0.000 5.368 5.368
5.368 0.000 5.368
5.368 5.368 0.000
Sr Cd In Rh
2 1 6 1
direct
0.250 0.250 0.250
0.750 0.750 0.750
0.000 0.000 0.000
0.258 0.258 0.742
0.258 0.742 0.258
0.258 0.742 0.742
0.742 0.258 0.258
0.742 0.258 0.742
0.742 0.742 0.258
0.500 0.500 0.500
```

Calculated values
Raw total energy, eV/atom: -2.902
Formation energy, eV per atom: -0.096

=====

3.
V2GaHRh after structural relaxation, computed with PBE.

Cell and atoms, written as POSCAR:
```
V2GaHRh
1.0
3.766 0.000 0.000
0.000 3.766 0.000
0.000 0.000 4.052
V Ga H Rh
2 1 1 1
direct
0.000 0.500 0.000
0.500 0.000 0.000
0.000 0.000 0.500
0.500 0.500 0.000
0.500 0.500 0.500
```

Calculated values
Raw total energy, eV/atom: -6.670
Polymorph energy (0 for the lowest one), kcal/mol of atoms: 0.00